--- w ---
! TlTc3O PBE optimized geometry; values from VASP
&SYSTEM
  ibrav = 0, nat = 5, ntyp = 3
/
ATOMIC_SPECIES
Tc 98.00 Tc.upf
O 16.00 O.upf
Tl 204.38 Tl.upf
ATOMIC_POSITIONS angstrom
Tc 2.487 0.000 0.000
Tc 0.000 2.487 0.000
Tc 0.000 0.000 2.487
O 2.487 2.487 2.487
Tl 0.000 0.000 0.000
CELL_PARAMETERS angstrom
4.974 0.000 0.000
0.000 4.974 0.000
0.000 0.000 4.974
! density = 6.94 Mg/m³
! spin magnetization = 0.00 μB per cell
! SG = Pm-3m, No. 221

---

--- x ---
! TlTc3O PBE optimized geometry; values from VASP
&SYSTEM
  ibrav = 0, nat = 5, ntyp = 3
/
ATOMIC_SPECIES
Tc 98.00 Tc.upf
Tl 204.38 Tl.upf
O 16.00 O.upf
ATOMIC_POSITIONS angstrom
Tc 0.000 2.091 0.000
Tc 0.000 0.000 2.091
Tc 2.091 0.000 0.000
Tl 2.091 2.091 2.091
O 0.000 0.000 0.000
CELL_PARAMETERS angstrom
4.181 0.000 0.000
0.000 4.181 0.000
0.000 0.000 4.181
! density = 11.68 Mg/m³
! spin magnetization = 2.04 μB per cell
! SG = Pm-3m, No. 221

---

Relative energies, unit meV/atom: w 3057; x 0

---

--- w ---
! TmTcO4 PBE optimized geometry; values from VASP
&SYSTEM
  ibrav = 0, nat = 12, ntyp = 3
/
ATOMIC_SPECIES
O 16.00 O.upf
Tc 98.00 Tc.upf
Tm 168.93 Tm.upf
ATOMIC_POSITIONS angstrom
O -0.236 -1.250 1.574
O 0.134 -3.889 2.669
O -1.094 2.438 5.318
O -2.767 0.503 3.497
O 0.374 0.630 4.015
O -1.333 -2.080 3.972
O 1.807 -1.953 4.490
O -0.724 -0.200 6.413
Tc 0.000 0.000 0.000
Tc -1.446 -2.734 2.153
Tm 1.640 -0.613 2.758
Tm -1.153 1.897 3.075
CELL_PARAMETERS angstrom
-4.239 -0.223 2.471
1.347 -5.245 1.836
1.933 4.018 3.680
! density = 7.24 Mg/m³
! spin magnetization = 3.48 μB per cell
! SG = P2_1/c, No. 14

---

--- x ---
! TmTcO4 PBE optimized geometry; values from VASP
&SYSTEM
  ibrav = 0, nat = 24, ntyp = 3
/
ATOMIC_SPECIES
Tm 168.93 Tm.upf
O 16.00 O.upf
Tc 98.00 Tc.upf
ATOMIC_POSITIONS angstrom
Tm -2.241 -1.891 4.631
Tm -1.940 0.604 7.382
Tm -4.477 -1.234 1.587
Tm -4.177 1.262 4.338
O -5.522 0.073 8.018
O -3.004 -0.537 3.104
O -1.592 -4.212 5.467
O -3.184 -1.535 7.996
O -0.885 -1.086 6.183
O -2.163 1.943 3.519
O -5.809 -2.388 2.870
O -4.254 -2.572 5.450
O -3.233 0.906 0.973
O -3.127 2.751 5.783
O -0.609 1.759 6.099
O -4.825 3.582 3.503
O -5.532 0.456 2.786
O -3.413 -0.093 5.865
O -3.291 -3.380 3.186
O -0.895 -0.703 0.951
Tc -1.619 0.656 2.149
Tc -1.491 3.168 4.879
Tc -4.798 -1.286 6.820
Tc -4.926 -3.798 4.090
CELL_PARAMETERS angstrom
-5.192 0.496 -0.606
-1.077 -6.188 4.162
-0.149 5.063 5.414
! density = 7.59 Mg/m³
! spin magnetization = 4.07 μB per cell
! SG = P2_1/c, No. 14

---

Relative energies, unit meV/atom: w 46; x 0

---

--- w ---
! TmTcO5 PBE optimized geometry; values from VASP
&SYSTEM
  ibrav = 0, nat = 14, ntyp = 3
/
ATOMIC_SPECIES
O 16.00 O.upf
Tm 168.93 Tm.upf
Tc 98.00 Tc.upf
ATOMIC_POSITIONS angstrom
O 5.565 0.543 0.264
O 2.866 4.306 0.403
O 1.465 1.579 4.238
O 1.169 2.000 0.125
O -1.234 5.343 4.377
O 0.296 4.260 1.651
O 0.449 4.468 -1.123
O 3.162 3.886 4.516
O 3.882 1.418 5.765
O 4.035 1.626 2.990
Tm 0.000 0.000 0.000
Tm -0.097 -0.132 4.113
Tc 3.110 2.146 4.377
Tc 1.221 3.739 0.264
CELL_PARAMETERS angstrom
5.911 0.390 -1.792
-1.386 5.759 -1.792
-0.194 -0.263 8.226
! density = 4.13 Mg/m³
! spin magnetization = 0.04 μB per cell
! SG = C2/c, No. 15

---

--- x ---
! TmTcO5 PBE optimized geometry; values from VASP
&SYSTEM
  ibrav = 0, nat = 14, ntyp = 3
/
ATOMIC_SPECIES
O 16.00 O.upf
Tc 98.00 Tc.upf
Tm 168.93 Tm.upf
ATOMIC_POSITIONS angstrom
O -2.587 -4.135 -0.521
O -0.916 -6.453 -1.563
O 0.518 -4.093 -0.458
O -1.027 -9.756 -0.508
O 2.226 -7.129 -1.907
O 2.078 -9.714 -0.444
O -2.735 -6.721 0.941
O 0.407 -7.397 0.597
O -0.001 -5.602 2.451
O -0.508 -8.248 -3.417
Tc 1.837 -3.058 -1.191
Tc 0.000 0.000 0.000
Tm -1.025 -5.422 0.408
Tm 0.516 -8.428 -1.373
CELL_PARAMETERS angstrom
-0.690 -4.113 3.504
-3.494 -3.620 -2.089
3.675 -6.116 -2.381
! density = 6.06 Mg/m³
! spin magnetization = 0.00 μB per cell
! SG = C2/c, No. 15

---

Relative energies, unit meV/atom: w 0; x 15